Record 1
ThSI3 (GGA-PBE, relaxed); energy relative to the elements, uncorrected = -23.006 kcal/mol of atoms; E above lowest polymorph = 179 meV per atom
1.0
-7.725 3.340 2.506
4.697 -4.807 5.651
7.895 3.656 -1.184
Th I S
2 6 2
direct
0.529 0.032 0.997
0.035 0.532 0.003
0.531 0.271 0.238
0.033 0.293 0.762
0.033 0.771 0.240
0.094 0.279 0.315
0.965 0.779 0.685
0.531 0.793 0.760
0.490 0.783 0.206
0.577 0.283 0.794

Record 2
TbPu2HfAs4 (GGA-PBE, relaxed); energy relative to the elements = -1.17 eV/atom
1.0
4.052 0.000 0.000
0.000 7.044 0.134
0.000 -2.448 6.559
Tb Hf As Pu
1 1 4 2
direct
0.500 0.500 0.000
0.000 0.000 0.000
0.000 0.241 0.756
0.500 0.765 0.763
0.000 0.759 0.244
0.500 0.235 0.237
0.000 0.500 0.500
0.500 0.000 0.500

Record 3
TaCr2Sb (GGA-PBE, relaxed); energy relative to the elements, uncorrected = 10.719 kcal/mol of atoms; E above lowest polymorph = 353 meV per atom
1.0
5.137 -0.001 0.000
-2.010 4.727 0.000
0.669 1.012 2.641
Ta Sb Cr
1 1 2
direct
0.000 0.500 0.500
0.500 0.000 0.500
0.500 0.500 0.000
0.000 0.000 0.000

Record 4
CsPbSI2 (GGA-PBE, relaxed); energy relative to the elements, uncorrected = -15.886 kcal/mol of atoms; E above lowest polymorph = 0 meV per atom
1.0
6.444 0.000 0.000
0.000 6.444 0.000
0.000 0.000 5.294
I Pb Cs S
2 1 1 1
direct
0.500 0.000 0.000
0.000 0.500 0.000
0.000 0.000 0.000
0.500 0.500 0.500
0.000 0.000 0.500

Record 5
Tm2OsBr (GGA-PBE, relaxed); energy relative to the elements, uncorrected = -13.908 kcal/mol of atoms; E above lowest polymorph = 113 meV per atom
1.0
-0.274 -2.951 2.617
-0.814 -3.668 -1.234
7.058 -3.590 -0.323
Tm Br Os
2 1 1
direct
0.269 0.269 0.194
0.731 0.731 0.806
0.500 0.500 0.500
0.000 0.000 0.000

Record 6
LiTl2Bi (GGA-PBE, relaxed); energy relative to the elements = -0.01 eV/atom
1.0
-5.355 -4.105 5.404
-5.373 -1.640 -6.570
-3.870 -5.551 -1.137
Bi Li Tl
2 2 4
direct
0.750 0.250 0.500
0.000 0.000 0.000
0.250 0.750 0.500
0.500 0.500 0.000
0.375 0.394 0.750
0.875 0.856 0.750
0.144 0.625 0.250
0.606 0.125 0.250

Record 7
Rb4LiU3S8 (GGA-PBE, relaxed); energy relative to the elements, uncorrected = -31.532 kcal/mol of atoms
1.0
8.183 0.000 0.000
0.000 8.977 0.551
-4.091 -4.085 5.791
S Li Rb U
8 1 4 3
direct
0.765 0.312 0.047
0.765 0.312 0.530
0.282 0.312 0.047
0.235 0.688 0.953
0.235 0.688 0.470
0.718 0.688 0.953
0.731 0.693 0.462
0.269 0.307 0.538
0.000 0.500 0.000
0.000 0.000 0.500
0.500 0.000 0.500
0.500 0.000 0.000
0.000 0.000 0.000
0.500 0.500 0.000
0.500 0.500 0.500
0.000 0.500 0.500

Record 8
Zr3CdCl (GGA-PBE, relaxed); energy relative to the elements, uncorrected = -0.981 kcal/mol of atoms; E above lowest polymorph = 0 meV per atom
1.0
4.820 0.000 0.000
0.000 4.820 0.000
0.000 0.000 4.820
Cl Zr Cd
1 3 1
direct
0.000 0.000 0.000
0.500 0.000 0.000
0.000 0.000 0.500
0.000 0.500 0.000
0.500 0.500 0.500